No. 1
Below is a geometry-optimized Ce3Pm4ScS8 structure, with properties calculated at the PBE level.

Lattice parameters (Å, degrees): 7.979 7.979 7.979 60.07 60.07 60.07
Fractional coordinates of all 16 atoms:
Ce 0.000 0.500 0.500
Ce 0.500 0.000 0.500
Ce 0.500 0.500 0.000
Pm 0.000 0.000 0.500
Pm 0.000 0.500 0.000
Pm 0.500 0.000 0.000
Pm 0.500 0.500 0.500
Sc 0.000 0.000 0.000
S 0.241 0.241 0.758
S 0.241 0.758 0.241
S 0.242 0.759 0.759
S 0.250 0.250 0.250
S 0.750 0.750 0.750
S 0.758 0.241 0.241
S 0.759 0.242 0.759
S 0.759 0.759 0.242

Calculated values
The final energy is -6.76 eV/atom. Its formation energy (no corrections) is -2002 meV/atom.

No. 2
Below is a geometry-optimized Ce2PmScS4 structure, with properties calculated at the PBE level.

Lattice parameters (Å, degrees): 6.845 3.931 6.870 90.00 109.18 90.00
Fractional coordinates of all 8 atoms:
Ce 0.000 0.000 0.000
Ce 0.500 0.500 0.000
Pm 0.000 0.500 0.500
Sc 0.500 0.000 0.500
S 0.260 0.000 0.741
S 0.269 0.500 0.268
S 0.731 0.500 0.732
S 0.740 0.000 0.259

Calculated values
The final energy is -6.90 eV/atom. Its formation energy (no corrections) is -1971 meV/atom.

No. 3
Below is a geometry-optimized Ce3Pm3ScS8 structure, with properties calculated at the PBE level.

Lattice parameters (Å, degrees): 8.017 8.017 8.017 59.85 59.85 59.85
Fractional coordinates of all 15 atoms:
Ce 0.000 0.500 0.500
Ce 0.500 0.000 0.500
Ce 0.500 0.500 0.000
Pm 0.000 0.000 0.500
Pm 0.000 0.500 0.000
Pm 0.500 0.000 0.000
Sc 0.500 0.500 0.500
S 0.250 0.250 0.250
S 0.263 0.263 0.737
S 0.263 0.737 0.263
S 0.263 0.737 0.737
S 0.737 0.263 0.263
S 0.737 0.263 0.737
S 0.737 0.737 0.263
S 0.750 0.750 0.750

Calculated values
The final energy is -6.79 eV/atom. Its formation energy (no corrections) is -2029 meV/atom.

No. 4
Below is a geometry-optimized Ce3Pm2ScS6 structure, with properties calculated at the PBE level.

Lattice parameters (Å, degrees): 8.896 8.896 7.989 103.08 103.08 25.79
Fractional coordinates of all 12 atoms:
Ce 0.000 0.000 0.000
Ce 0.331 0.331 0.665
Ce 0.669 0.669 0.335
Pm 0.335 0.335 0.168
Pm 0.665 0.665 0.832
Sc 0.000 0.000 0.500
S 0.159 0.159 0.579
S 0.167 0.167 0.083
S 0.498 0.498 0.731
S 0.502 0.502 0.269
S 0.833 0.833 0.917
S 0.841 0.841 0.421

Calculated values
The final energy is -6.86 eV/atom. Its formation energy (no corrections) is -1992 meV/atom.

No. 5
Below is a geometry-optimized Ce2Pm3ScS6 structure, with properties calculated at the PBE level.

Lattice parameters (Å, degrees): 8.890 8.890 7.989 103.08 103.08 25.81
Fractional coordinates of all 12 atoms:
Ce 0.166 0.166 0.334
Ce 0.834 0.834 0.666
Pm 0.168 0.168 0.834
Pm 0.500 0.500 0.500
Pm 0.832 0.832 0.166
Sc 0.500 0.500 0.000
S 0.001 0.001 0.769
S 0.333 0.333 0.416
S 0.341 0.341 0.919
S 0.659 0.659 0.081
S 0.667 0.667 0.584
S 0.999 0.999 0.231

Calculated values
The final energy is -6.76 eV/atom. Its formation energy (no corrections) is -1991 meV/atom.

No. 6
Below is a geometry-optimized CePm2ScS4 structure, with properties calculated at the PBE level.

Lattice parameters (Å, degrees): 6.847 3.934 6.862 90.00 109.18 90.00
Fractional coordinates of all 8 atoms:
Ce 0.000 0.000 0.000
Pm 0.500 0.000 0.500
Pm 0.500 0.500 0.000
Sc 0.000 0.500 0.500
S 0.231 0.000 0.732
S 0.240 0.500 0.259
S 0.760 0.500 0.741
S 0.769 0.000 0.268

Calculated values
The final energy is -6.75 eV/atom. Its formation energy (no corrections) is -1969 meV/atom.